Record 1
First-principles (PBE-GGA) data for an optimized crystal structure of Er4HgTe, as listed in Alexandria.

Cell: 8.4322 3.9163 19.9342 Å, 90.00 90.00 90.00°
Atoms (fractional coordinates):
Er: 0.0157 0.2500 0.2172
Er: 0.0259 0.2500 0.9266
Er: 0.1214 0.2500 0.4349
Er: 0.1618 0.2500 0.6584
Er: 0.3382 0.7500 0.1584
Er: 0.3786 0.7500 0.9349
Er: 0.4741 0.7500 0.4266
Er: 0.4843 0.7500 0.7172
Er: 0.5157 0.2500 0.2828
Er: 0.5259 0.2500 0.5734
Er: 0.6214 0.2500 0.0651
Er: 0.6618 0.2500 0.8416
Er: 0.8382 0.7500 0.3416
Er: 0.8786 0.7500 0.5651
Er: 0.9741 0.7500 0.0734
Er: 0.9843 0.7500 0.7828
Hg: 0.2441 0.7500 0.5463
Hg: 0.2559 0.2500 0.0463
Hg: 0.7441 0.7500 0.9537
Hg: 0.7559 0.2500 0.4537
Te: 0.2158 0.7500 0.3123
Te: 0.2842 0.2500 0.8123
Te: 0.7158 0.7500 0.1877
Te: 0.7842 0.2500 0.6877

Values from the calculation:
Relative energy among the computed polymorphs ... 0 meV per atom

=====

Record 2
First-principles (PBE-GGA) data for an optimized crystal structure of Er6HgTe3, as listed in Alexandria.

Cell: 11.9860 3.9669 12.6861 Å, 90.00 103.74 90.00°
Atoms (fractional coordinates):
Er: 0.0133 0.2500 0.3488
Er: 0.0820 0.2500 0.8828
Er: 0.2508 0.7500 0.2984
Er: 0.2884 0.7500 0.7555
Er: 0.3840 0.2500 0.5344
Er: 0.4447 0.7500 0.1271
Er: 0.5553 0.2500 0.8729
Er: 0.6160 0.7500 0.4656
Er: 0.7116 0.2500 0.2445
Er: 0.7492 0.2500 0.7016
Er: 0.9180 0.7500 0.1172
Er: 0.9867 0.7500 0.6512
Hg: 0.4592 0.2500 0.3131
Hg: 0.5408 0.7500 0.6869
Te: 0.1139 0.2500 0.1353
Te: 0.1695 0.7500 0.5121
Te: 0.3390 0.2500 0.9495
Te: 0.6610 0.7500 0.0505
Te: 0.8305 0.2500 0.4879
Te: 0.8861 0.7500 0.8647

Values from the calculation:
Energy ... -4.48 eV/atom

=====

Record 3
First-principles (PBE-GGA) data for an optimized crystal structure of Er5HgTe4, as listed in Alexandria.

Cell: 7.4969 7.4969 7.4969 Å, 99.55 99.55 131.92°
Atoms (fractional coordinates):
Er: 0.0000 0.0000 0.0000
Er: 0.2157 0.4014 0.6171
Er: 0.4014 0.7843 0.1857
Er: 0.5986 0.2157 0.8143
Er: 0.7843 0.5986 0.3829
Hg: 0.5000 0.5000 0.0000
Te: 0.0926 0.6945 0.7871
Te: 0.3055 0.0926 0.3981
Te: 0.6945 0.9074 0.6019
Te: 0.9074 0.3055 0.2129

Values from the calculation:
Energy ... -4.67 eV/atom

=====

Record 4
First-principles (PBE-GGA) data for an optimized crystal structure of Er4HgTe, as listed in Alexandria.

Cell: 6.0140 8.2399 7.8901 Å, 90.00 107.40 90.00°
Atoms (fractional coordinates):
Er: 0.0286 0.0467 0.2434
Er: 0.0286 0.4533 0.2434
Er: 0.3892 0.2500 0.0138
Er: 0.4346 0.7500 0.5062
Er: 0.5654 0.2500 0.4938
Er: 0.6108 0.7500 0.9862
Er: 0.9714 0.5467 0.7566
Er: 0.9714 0.9533 0.7566
Hg: 0.1814 0.7500 0.0826
Hg: 0.8186 0.2500 0.9174
Te: 0.1094 0.2500 0.5826
Te: 0.8906 0.7500 0.4174

Values from the calculation:
Relative energy among the computed polymorphs ... 242 meV per atom

=====

Record 5
First-principles (PBE-GGA) data for an optimized crystal structure of Er5Hg2Te2, as listed in Alexandria.

Cell: 8.6666 8.6666 7.9849 Å, 90.00 90.00 55.14°
Atoms (fractional coordinates):
Er: 0.0000 0.0000 0.0000
Er: 0.0355 0.7045 0.6626
Er: 0.2045 0.5355 0.1626
Er: 0.2955 0.9645 0.6626
Er: 0.4645 0.7955 0.1626
Er: 0.5000 0.5000 0.5000
Er: 0.5355 0.2045 0.8374
Er: 0.7045 0.0355 0.3374
Er: 0.7955 0.4645 0.8374
Er: 0.9645 0.2955 0.3374
Hg: 0.1351 0.8649 0.3677
Hg: 0.3649 0.6351 0.8677
Hg: 0.6351 0.3649 0.1323
Hg: 0.8649 0.1351 0.6323
Te: 0.2044 0.2044 0.0000
Te: 0.2956 0.2956 0.5000
Te: 0.7044 0.7044 0.5000
Te: 0.7956 0.7956 0.0000

Values from the calculation:
Energy ... -4.09 eV/atom

=====

Record 6
First-principles (PBE-GGA) data for an optimized crystal structure of Er6HgTe5, as listed in Alexandria.

Cell: 7.5052 7.5052 7.4855 Å, 99.58 99.58 119.85°
Atoms (fractional coordinates):
Er: 0.0776 0.3944 0.7361
Er: 0.2323 0.2323 0.2546
Er: 0.3944 0.0776 0.7361
Er: 0.6056 0.9224 0.2639
Er: 0.7677 0.7677 0.7454
Er: 0.9224 0.6056 0.2639
Hg: 0.0000 0.0000 0.5000
Te: 0.1759 0.8241 0.0000
Te: 0.3362 0.6638 0.5000
Te: 0.5000 0.5000 0.0000
Te: 0.6638 0.3362 0.5000
Te: 0.8241 0.1759 0.0000

Values from the calculation:
Energy ... -4.74 eV/atom

=====

Record 7
First-principles (PBE-GGA) data for an optimized crystal structure of Er5HgTe2, as listed in Alexandria.

Cell: 6.9585 6.9585 12.9855 Å, 90.00 90.00 129.56°
Atoms (fractional coordinates):
Er: 0.0518 0.9482 0.6137
Er: 0.0518 0.9482 0.8863
Er: 0.3800 0.6200 0.2500
Er: 0.3851 0.6149 0.5581
Er: 0.3851 0.6149 0.9419
Er: 0.6149 0.3851 0.0581
Er: 0.6149 0.3851 0.4419
Er: 0.6200 0.3800 0.7500
Er: 0.9482 0.0518 0.1137
Er: 0.9482 0.0518 0.3863
Hg: 0.2537 0.7463 0.7500
Hg: 0.7463 0.2537 0.2500
Te: 0.1899 0.8101 0.0894
Te: 0.1899 0.8101 0.4106
Te: 0.8101 0.1899 0.5894
Te: 0.8101 0.1899 0.9106

Values from the calculation:
Energy ... -4.18 eV/atom

=====

Record 8
First-principles (PBE-GGA) data for an optimized crystal structure of Er3HgTe, as listed in Alexandria.

Cell: 6.2703 4.4314 11.0057 Å, 90.00 90.00 90.00°
Atoms (fractional coordinates):
Er: 0.0000 0.0000 0.0000
Er: 0.2500 0.0000 0.3189
Er: 0.2500 0.5000 0.7925
Er: 0.5000 0.0000 0.0000
Er: 0.7500 0.0000 0.6811
Er: 0.7500 0.5000 0.2075
Hg: 0.2500 0.5000 0.1401
Hg: 0.7500 0.5000 0.8599
Te: 0.2500 0.0000 0.6014
Te: 0.7500 0.0000 0.3986

Values from the calculation:
Energy ... -3.99 eV/atom

=====

The following density of states at the Fermi level values (in states/eV/cell) correspond, in order, to the records above: 23.27; 16.58; 2.87; 11.13; 11.62; 3.63; 20.08; 8.10.
The following M_tot values (in μB per formula unit) correspond, in order, to the records above: 0.0; 0.0; 0.0; 0.0; 0.0; 0.0; 0.0; 0.0.